Computed, not measured: a relaxed K3WF6 crystal at the PBE with a Hubbard U level of DFT.

Polymorph energy (0 for the lowest one): 14.7 meV/atom

a = 6.522 Å, b = 6.522 Å, c = 6.522 Å
α = 60.00°, β = 60.00°, γ = 60.00°
Site moments in Bohr magnetons follow the coordinates.
Fractional coordinates of all 10 atoms:
K  0.750  0.750  0.750  0.00
K  0.250  0.250  0.250  0.00
K  0.500  0.500  0.500  0.00
W  0.000  0.000  0.000  2.80
F  0.771  0.771  0.229  0.02
F  0.229  0.771  0.771  0.02
F  0.229  0.771  0.229  0.02
F  0.771  0.229  0.229  0.02
F  0.771  0.229  0.771  0.02
F  0.229  0.229  0.771  0.02